No. 1
The following is a DFT calculation (PBE-GGA) of an optimized crystal structure of LaSmSi.

The structure belongs to space group F-43m (No. 216); the cell edges are 7.125, 7.125 and 7.125 Å and the angles 90.00°, 90.00° and 90.00°. The asymmetric unit holds La at (0.000, 0.000, 0.000), Sm at (0.000, 0.000, 0.500) and Si at (0.250, 0.250, 0.250).

The crystal system is cubic. The value obtained for the distance to the lowest polymorph of the same formula is 0 meV per atom. The calculation puts the calculated density at 5.8 Mg/m³.

***

No. 2
The following is a DFT calculation (PBE-GGA) of an optimized crystal structure of GdDyCd6.

The structure belongs to space group P4/mmm (No. 123); the cell edges are 5.067, 5.067 and 7.163 Å and the angles 90.00°, 90.00° and 90.00°. The asymmetric unit holds Gd at (0.000, 0.000, 0.000), Dy at (0.500, 0.500, 0.500), Cd at (0.000, 0.000, 0.500), Cd at (0.000, 0.500, 0.251) and Cd at (0.500, 0.500, 0.000).

The crystal system is tetragonal. The value obtained for the distance to the lowest polymorph of the same formula is 11 meV per atom. The calculation puts the calculated density at 9.0 Mg/m³.

***

No. 3
The following is a DFT calculation (PBE-GGA) of an optimized crystal structure of CdAgO3.

The structure belongs to space group P4mm (No. 99); the cell edges are 3.971, 3.971 and 4.169 Å and the angles 90.00°, 90.00° and 90.00°. The asymmetric unit holds Cd at (0.000, 0.000, 0.000), Ag at (0.500, 0.500, 0.598), O at (0.000, 0.500, 0.696) and O at (0.500, 0.500, 0.112).

The crystal system is tetragonal. As for the total energy: -3.695 eV/atom. The calculation puts the calculated density at 6.8 Mg/m³.

***

No. 4
The following is a DFT calculation (PBE-GGA) of an optimized crystal structure of TcSn2Os.

The structure belongs to space group F-43m (No. 216); the cell edges are 6.636, 6.636 and 6.636 Å and the angles 90.00°, 90.00° and 90.00°. The asymmetric unit holds Tc at (0.000, 0.000, 0.000), Sn at (0.000, 0.000, 0.500), Sn at (0.250, 0.250, 0.750) and Os at (0.250, 0.250, 0.250).

The crystal system is cubic. As for the total energy: -6.705 eV/atom. The calculation puts the calculated density at 11.9 Mg/m³.